Compound: TaVReF2
Source: Alexandria
Functional: PBE with a Hubbard U
Structure: relaxed

```
5
Lattice="-3.671 1.207 0.863 -1.712 -5.054 -0.212 0.768 -0.422 3.861" Properties=species:S:1:pos:R:3 pbc="T T T"
Re -0.856 -2.527 -0.106
F 0.384 -0.211 1.930
F -1.835 0.604 0.431
V -2.307 -2.134 2.256
Ta 0.000 0.000 0.000
```

## Properties
**Space-group type**: No. 123
**Volume**: 84 Å³/f.u.
**Spin magnetization**: 0.4942 μB per atom
**Total DFT energy (no corrections)**: -7.384 eV/atom